1.
# NbGeP2S, relaxed, DFT GGA-PBE
# - calculated density (g cm⁻³) = 3.8
# - uncorrected formation energy (eV per atom) = 0.3321
# - spin magnetization (μB/f.u.) = 0.000
data_NbGeP2S
_cell_length_a 4.9004
_cell_length_b 4.9004
_cell_length_c 4.6883
_cell_angle_alpha 90.00
_cell_angle_beta 90.00
_cell_angle_gamma 90.00
_symmetry_space_group_name_H-M 'P 4/m m m'
_symmetry_Int_Tables_number 123
_symmetry_space_group_name_Hall '-P 4 2'
loop_
_atom_site_label
_atom_site_type_symbol
_atom_site_fract_x
_atom_site_fract_y
_atom_site_fract_z
Nb1 Nb 0.0000 0.0000 0.0000
Ge1 Ge 0.5000 0.5000 0.5000
P1 P 0.0000 0.5000 0.0000
S1 S 0.0000 0.0000 0.5000

---

2.
# Li2ReOs, relaxed, DFT GGA-PBE
# - calculated density (g cm⁻³) = 12.3
# - DFT formation energy (eV per atom) = 0.11
# - spin magnetization (μB/f.u.) = 0.000
data_Li2ReOs
_cell_length_a 4.2002
_cell_length_b 4.2002
_cell_length_c 5.9606
_cell_angle_alpha 90.00
_cell_angle_beta 90.00
_cell_angle_gamma 90.00
_symmetry_space_group_name_H-M 'I -4 m 2'
_symmetry_Int_Tables_number 119
_symmetry_space_group_name_Hall 'I -4 -2'
loop_
_atom_site_label
_atom_site_type_symbol
_atom_site_fract_x
_atom_site_fract_y
_atom_site_fract_z
Li1 Li 0.0000 0.0000 0.0000
Li2 Li 0.0000 0.5000 0.2500
Re1 Re 0.0000 0.0000 0.5000
Os1 Os 0.0000 0.5000 0.7500

---

3.
# GePd3Au2, relaxed, DFT GGA-PBE
# - calculated density (g cm⁻³) = 13.0
# - DFT formation energy (eV per atom) = -0.19
# - spin magnetization (μB/f.u.) = 0.000
data_GePd3Au2
_cell_length_a 5.2387
_cell_length_b 9.0514
_cell_length_c 8.6130
_cell_angle_alpha 90.00
_cell_angle_beta 101.65
_cell_angle_gamma 90.00
_symmetry_space_group_name_H-M 'C 1 2/m 1'
_symmetry_Int_Tables_number 12
_symmetry_space_group_name_Hall '-C 2y'
loop_
_atom_site_label
_atom_site_type_symbol
_atom_site_fract_x
_atom_site_fract_y
_atom_site_fract_z
Ge1 Ge 0.0000 0.1681 0.0000
Pd1 Pd 0.2160 0.0000 0.2291
Pd2 Pd 0.2432 0.1797 0.7685
Au1 Au 0.0000 0.0000 0.5000
Au2 Au 0.0000 0.3392 0.5000
Au3 Au 0.0000 0.5000 0.0000

---

4.
# TaTl2Fe, relaxed, DFT GGA-PBE
# - calculated density (g cm⁻³) = 13.6
# - DFT formation energy (eV per atom) = 0.69
# - spin magnetization (μB/f.u.) = 3.058
data_TaTl2Fe
_cell_length_a 6.0912
_cell_length_b 8.5755
_cell_length_c 3.0195
_cell_angle_alpha 90.00
_cell_angle_beta 90.00
_cell_angle_gamma 90.00
_symmetry_space_group_name_H-M 'C m m m'
_symmetry_Int_Tables_number 65
_symmetry_space_group_name_Hall '-C 2 2'
loop_
_atom_site_label
_atom_site_type_symbol
_atom_site_fract_x
_atom_site_fract_y
_atom_site_fract_z
Ta1 Ta 0.0000 0.0000 0.0000
Tl1 Tl 0.2500 0.2500 0.5000
Fe1 Fe 0.0000 0.5000 0.0000

---

5.
# Dy4ZrRh5, relaxed, DFT GGA-PBE
# - calculated density (g cm⁻³) = 10.6
# - DFT formation energy (eV per atom) = -0.85
# - spin magnetization (μB/f.u.) = 0.000
data_Dy4ZrRh5
_cell_length_a 3.3681
_cell_length_b 3.3681
_cell_length_c 17.3754
_cell_angle_alpha 90.00
_cell_angle_beta 90.00
_cell_angle_gamma 90.00
_symmetry_space_group_name_H-M 'P 4/m m m'
_symmetry_Int_Tables_number 123
_symmetry_space_group_name_Hall '-P 4 2'
loop_
_atom_site_label
_atom_site_type_symbol
_atom_site_fract_x
_atom_site_fract_y
_atom_site_fract_z
Dy1 Dy 0.0000 0.0000 0.1011
Dy2 Dy 0.0000 0.0000 0.3029
Zr1 Zr 0.0000 0.0000 0.5000
Rh1 Rh 0.5000 0.5000 0.0000
Rh2 Rh 0.5000 0.5000 0.2032
Rh3 Rh 0.5000 0.5000 0.4110

---

6.
# LaMo3S, relaxed, DFT GGA-PBE
# - calculated density (g cm⁻³) = 7.8
# - uncorrected formation energy (eV per atom) = 0.3338
# - spin magnetization (μB/f.u.) = 1.162
data_LaMo3S
_cell_length_a 4.6092
_cell_length_b 4.6092
_cell_length_c 4.6092
_cell_angle_alpha 90.00
_cell_angle_beta 90.00
_cell_angle_gamma 90.00
_symmetry_space_group_name_H-M 'P m -3 m'
_symmetry_Int_Tables_number 221
_symmetry_space_group_name_Hall '-P 4 2 3'
loop_
_atom_site_label
_atom_site_type_symbol
_atom_site_fract_x
_atom_site_fract_y
_atom_site_fract_z
La1 La 0.0000 0.0000 0.0000
Mo1 Mo 0.0000 0.5000 0.5000
S1 S 0.5000 0.5000 0.5000

---

7.
# Ca3TeRh, relaxed, DFT GGA-PBE
# - calculated density (g cm⁻³) = 3.7
# - uncorrected formation energy (eV per atom) = -0.6050
# - spin magnetization (μB/f.u.) = 0.000
data_Ca3TeRh
_cell_length_a 5.4102
_cell_length_b 5.4102
_cell_length_c 5.4102
_cell_angle_alpha 90.00
_cell_angle_beta 90.00
_cell_angle_gamma 90.00
_symmetry_space_group_name_H-M 'P m -3 m'
_symmetry_Int_Tables_number 221
_symmetry_space_group_name_Hall '-P 4 2 3'
loop_
_atom_site_label
_atom_site_type_symbol
_atom_site_fract_x
_atom_site_fract_y
_atom_site_fract_z
Ca1 Ca 0.0000 0.0000 0.5000
Te1 Te 0.5000 0.5000 0.5000
Rh1 Rh 0.0000 0.0000 0.0000

---

8.
# CrIr, relaxed, DFT GGA-PBE
# - calculated density (g cm⁻³) = 10.4
# - DFT formation energy (eV per atom) = 0.91
# - spin magnetization (μB/f.u.) = 1.058
data_CrIr
_cell_length_a 5.3785
_cell_length_b 5.3785
_cell_length_c 5.3785
_cell_angle_alpha 90.00
_cell_angle_beta 90.00
_cell_angle_gamma 90.00
_symmetry_space_group_name_H-M 'F -4 3 m'
_symmetry_Int_Tables_number 216
_symmetry_space_group_name_Hall 'F -4 2 3'
loop_
_atom_site_label
_atom_site_type_symbol
_atom_site_fract_x
_atom_site_fract_y
_atom_site_fract_z
Cr1 Cr 0.0000 0.0000 0.0000
Ir1 Ir 0.2500 0.2500 0.2500

---

9.
# Cs5Bi2O6, relaxed, DFT GGA-PBE
# - calculated density (g cm⁻³) = 5.2
# - uncorrected formation energy (eV per atom) = -1.2426
# - spin magnetization (μB/f.u.) = 0.021
data_Cs5Bi2O6
_cell_length_a 4.3996
_cell_length_b 12.2362
_cell_length_c 14.4264
_cell_angle_alpha 90.00
_cell_angle_beta 106.14
_cell_angle_gamma 90.00
_symmetry_space_group_name_H-M 'P 1 21/c 1'
_symmetry_Int_Tables_number 14
_symmetry_space_group_name_Hall '-P 2ybc'
loop_
_atom_site_label
_atom_site_type_symbol
_atom_site_fract_x
_atom_site_fract_y
_atom_site_fract_z
Cs1 Cs 0.0000 0.0000 0.0000
Cs2 Cs 0.2704 0.1605 0.5018
Cs3 Cs 0.4739 0.5623 0.2369
Bi1 Bi 0.0296 0.6920 0.7811
O1 O 0.1156 0.6779 0.3797
O2 O 0.1213 0.5601 0.8767
O3 O 0.4826 0.6867 0.7306

---

10.
# Sr4Ni2N, relaxed, DFT GGA-PBE
# - calculated density (g cm⁻³) = 3.9
# - uncorrected formation energy (eV per atom) = -0.0313
# - spin magnetization (μB/f.u.) = 0.000
data_Sr4Ni2N
_cell_length_a 5.4910
_cell_length_b 5.4910
_cell_length_c 13.4524
_cell_angle_alpha 90.00
_cell_angle_beta 90.00
_cell_angle_gamma 90.00
_symmetry_space_group_name_H-M 'I 4/m m m'
_symmetry_Int_Tables_number 139
_symmetry_space_group_name_Hall '-I 4 2'
loop_
_atom_site_label
_atom_site_type_symbol
_atom_site_fract_x
_atom_site_fract_y
_atom_site_fract_z
Sr1 Sr 0.0000 0.0000 0.1835
Sr2 Sr 0.0000 0.5000 0.0000
Ni1 Ni 0.0000 0.0000 0.4129
N1 N 0.0000 0.0000 0.0000

---

11.
# Ac2Zn3Ag, relaxed, DFT GGA-PBE
# - calculated density (g cm⁻³) = 8.1
# - DFT formation energy (eV per atom) = -0.30
# - spin magnetization (μB/f.u.) = 0.000
data_Ac2Zn3Ag
_cell_length_a 7.8729
_cell_length_b 9.5213
_cell_length_c 16.4891
_cell_angle_alpha 90.00
_cell_angle_beta 90.00
_cell_angle_gamma 90.00
_symmetry_space_group_name_H-M 'F m m m'
_symmetry_Int_Tables_number 69
_symmetry_space_group_name_Hall '-F 2 2'
loop_
_atom_site_label
_atom_site_type_symbol
_atom_site_fract_x
_atom_site_fract_y
_atom_site_fract_z
Ac1 Ac 0.2444 0.0000 0.0000
Ac2 Ac 0.2500 0.2500 0.2500
Zn1 Zn 0.0000 0.0000 0.3367
Zn2 Zn 0.0000 0.2456 0.4178
Ag1 Ag 0.0000 0.0000 0.1676

---

12.
# CrHg2Br4, relaxed, DFT GGA-PBE
# - calculated density (g cm⁻³) = 6.1
# - uncorrected formation energy (eV per atom) = -0.2833
# - spin magnetization (μB/f.u.) = 2.665
data_CrHg2Br4
_cell_length_a 5.1140
_cell_length_b 5.1140
_cell_length_c 16.1748
_cell_angle_alpha 90.00
_cell_angle_beta 90.00
_cell_angle_gamma 90.00
_symmetry_space_group_name_H-M 'I 4/m m m'
_symmetry_Int_Tables_number 139
_symmetry_space_group_name_Hall '-I 4 2'
loop_
_atom_site_label
_atom_site_type_symbol
_atom_site_fract_x
_atom_site_fract_y
_atom_site_fract_z
Cr1 Cr 0.0000 0.0000 0.0000
Hg1 Hg 0.0000 0.0000 0.3515
Br1 Br 0.0000 0.0000 0.1548
Br2 Br 0.0000 0.5000 0.0000